# 1
Material: Tb6DyPu
Method: DFT, PBE-GGA
State: relaxed

Calculated values
- Space group: P-1 (2)
- Energy above the lowest structure with this stoichiometry: 0 meV/atom
- Formation enthalpy at 0 K: 0.223 eV per atom
- Raw total energy: -5.616 eV/atom
- DOS(E_F): 14.91 states/eV/f.u.

```
Tb6DyPu
1.0
6.4309 0.0000 0.0000
-1.1289 6.6463 0.0000
-0.3691 -3.3827 5.9277
Tb Dy Pu
6 1 1
Cartesian
0.7833 1.7466 2.3835
0.1267 3.4517 5.5571
0.7432 0.2821 5.4505
4.1898 2.9815 0.4772
4.8062 -0.1881 0.3706
4.1497 1.5170 3.5442
3.0309 -1.6913 2.9638
-0.1846 -1.6913 2.9638
```

=====

# 2
Material: TbDy6Pu
Method: DFT, PBE-GGA
State: relaxed

Calculated values
- Space group: P-1 (2)
- Formation enthalpy at 0 K: 0.223 eV per atom
- Raw total energy: -5.599 eV/atom
- DOS(E_F): 14.58 states/eV/f.u.

```
TbDy6Pu
1.0
6.4116 0.0000 0.0000
-1.0275 6.6185 0.0000
-0.4287 -3.3956 5.9257
Tb Dy Pu
1 6 1
Cartesian
0.0000 0.0000 0.0000
0.8117 1.2660 3.4341
1.3698 -1.9003 3.3430
1.1669 3.1955 0.5706
3.7885 0.0274 5.3551
3.5856 5.1232 2.5827
4.1437 1.9569 2.4916
3.2058 0.0000 0.0000
```

=====

# 3
Material: TbDyPu2
Method: DFT, PBE-GGA
State: relaxed

Calculated values
- Space group: P4/mmm (123)
- Energy above the lowest structure with this stoichiometry: 1 meV/atom
- Formation enthalpy at 0 K: 0.181 eV per atom
- Raw total energy: -9.293 eV/atom
- DOS(E_F): 14.63 states/eV/f.u.

```
TbDyPu2
1.0
4.8214 0.0000 0.0000
0.0000 4.8214 0.0000
0.0000 0.0000 5.0330
Tb Dy Pu
1 1 2
Cartesian
0.0000 0.0000 0.0000
2.4107 2.4107 0.0000
0.0000 2.4107 2.5165
2.4107 0.0000 2.5165
```

=====

# 4
Material: Tb6Dy12Pu
Method: DFT, PBE-GGA
State: relaxed

Calculated values
- Space group: R-3m (166)
- Formation enthalpy at 0 K: 0.395 eV per atom
- Raw total energy: -4.728 eV/atom
- DOS(E_F): 34.73 states/eV/f.u.

```
Tb6Dy12Pu
1.0
7.8721 4.5450 2.9747
-7.8721 4.5450 2.9747
0.0000 -9.0900 2.9747
Tb Dy Pu
6 12 1
Cartesian
-3.0306 -1.7497 4.5861
0.0000 -3.4994 4.3380
-3.0306 1.7497 4.3380
3.0306 -1.7497 4.5861
0.0000 3.4994 4.5861
3.0306 1.7497 4.3380
-1.9142 -1.1052 1.5040
-3.0700 -5.3175 4.4620
-6.1401 0.0000 4.4620
1.9142 -1.1052 1.5040
0.0000 2.2104 1.5040
3.0700 -5.3175 4.4620
-3.0700 5.3175 4.4620
0.0000 -2.2104 7.4200
-1.9142 1.1052 7.4200
6.1401 0.0000 4.4620
3.0700 5.3175 4.4620
1.9142 1.1052 7.4200
0.0000 0.0000 0.0000
```